DFT (PBE with a Hubbard U) results for a relaxed structure of Tl3NiP2O8.

The density comes out at 7.11 g/cm3. The total DFT energy (no corrections) comes out at -5.82 eV/atom.

Cell: 5.532 5.532 7.593 Å, 90.00 90.00 120.00°
Fractional coordinates of all 14 atoms:
Tl  0.333  0.667  0.725
Tl  0.667  0.333  0.275
Tl  0.000  0.000  0.000
Ni  0.000  0.000  0.500
P  0.333  0.667  0.267
P  0.667  0.333  0.733
O  0.333  0.667  0.065
O  0.667  0.333  0.935
O  0.179  0.821  0.337
O  0.821  0.179  0.663
O  0.179  0.359  0.337
O  0.821  0.641  0.663
O  0.641  0.821  0.337
O  0.359  0.179  0.663